(1)
## RbBaDyS3 (PBE-GGA)

Data for an optimized crystal structure of RbBaDyS3.

Unit cell a=9.901 b=9.901 c=11.906 alpha=90.00 beta=90.00 gamma=155.56
Element x y z (fractional)
Ba 0.111 0.889 0.250
Ba 0.889 0.111 0.750
Dy 0.500 0.500 0.000
Dy 0.500 0.500 0.500
Rb 0.871 0.129 0.250
Rb 0.129 0.871 0.750
S 0.094 0.906 0.003
S 0.502 0.498 0.250
S 0.094 0.906 0.497
S 0.906 0.094 0.503
S 0.498 0.502 0.750
S 0.906 0.094 0.997

Computed properties:
raw total energy = -4.939 eV/atom

=====

(2)
## RbBaDyS3 (PBE-GGA)

Data for an optimized crystal structure of RbBaDyS3.

Unit cell a=11.910 b=4.188 c=19.471 alpha=90.00 beta=90.00 gamma=90.00
Element x y z (fractional)
Ba 0.256 0.250 0.140
Ba 0.756 0.250 0.360
Ba 0.244 0.750 0.640
Ba 0.744 0.750 0.860
Dy 0.006 0.750 0.250
Dy 0.506 0.750 0.250
Dy 0.494 0.250 0.750
Dy 0.994 0.250 0.750
Rb 0.756 0.250 0.122
Rb 0.256 0.250 0.378
Rb 0.744 0.750 0.622
Rb 0.244 0.750 0.878
S 0.009 0.250 0.157
S 0.504 0.250 0.157
S 0.256 0.750 0.248
S 0.756 0.750 0.252
S 0.004 0.250 0.343
S 0.509 0.250 0.343
S 0.491 0.750 0.657
S 0.996 0.750 0.657
S 0.244 0.250 0.748
S 0.744 0.250 0.752
S 0.496 0.750 0.843
S 0.991 0.750 0.843

Computed properties:
raw total energy = -4.939 eV/atom